Entry 1:
The following is a PBE calculation of an optimized crystal structure of ScBeSb2, from the Alexandria database.

Cell lengths 7.433, 7.433, 7.433 Å; angles 30.35, 30.35, 30.35 degrees
Element x y z (fractional)
Sb (0.039, 0.039, 0.039)
Sb (0.241, 0.241, 0.241)
Sc (0.479, 0.479, 0.479)
Be (0.740, 0.740, 0.740)

**E_tot**: -18.6 eV/cell
**Magnetic moment**: 0.00 Bohr magnetons per cell
**Formation energy from raw total energies**: -0.30 eV per formula unit



Entry 2:
The following is a PBE calculation of an optimized crystal structure of ScBeSb2, from the Alexandria database.

Cell lengths 5.018, 5.018, 5.018 Å; angles 60.00, 60.00, 60.00 degrees
Element x y z (fractional)
Sb (0.250, 0.250, 0.250)
Sb (0.000, 0.000, 0.000)
Sc (0.750, 0.750, 0.750)
Be (0.500, 0.500, 0.500)

**E_tot**: -17.1 eV/cell
**Magnetic moment**: 0.00 Bohr magnetons per cell
**Formation energy from raw total energies**: 1.23 eV per formula unit



Entry 3:
The following is a PBE calculation of an optimized crystal structure of ScBe3Sb, from the Alexandria database.

Cell lengths 4.599, 4.599, 4.599 Å; angles 90.00, 90.00, 90.00 degrees
Element x y z (fractional)
Sb (0.000, 0.000, 0.000)
Be (0.000, 0.000, 0.500)
Be (0.000, 0.500, 0.000)
Be (0.500, 0.000, 0.000)
Sc (0.500, 0.500, 0.500)

**E_tot**: -16.4 eV/cell
**Magnetic moment**: 0.00 Bohr magnetons per cell
**Formation energy from raw total energies**: 5.25 eV per formula unit